Record 1
Material: SrMnCdP
Method: DFT, PBE
State: optimized geometry

Lattice parameters (Å, degrees): 3.8856 3.8856 11.8535 90.00 90.00 90.00
Closest atoms and distances in Å follow each position.
Positions (direct):
1 Sr 0.7500 0.7500 0.2339  4 P 3.13, 4 Mn 3.39
2 Sr 0.2500 0.2500 0.7661  4 P 3.13, 4 Mn 3.39
3 Mn 0.7500 0.2500 0.0000  4 P 2.32
4 Mn 0.2500 0.7500 0.0000  4 P 2.32
5 Cd 0.2500 0.7500 0.5000  4 Cd 2.75
6 Cd 0.7500 0.2500 0.5000  4 Cd 2.75
7 P 0.7500 0.7500 0.8923  4 Mn 2.32
8 P 0.2500 0.2500 0.1077  4 Mn 2.32

E_tot = -38.6 eV/cell
Density of states at the Fermi level = 0.60 states/eV/atom
Total magnetization = 1.548 μB per formula unit
Space group = No. 129
E_form = -0.53 eV per atom

---

Record 2
Material: Pa2MnCd
Method: DFT, PBE
State: optimized geometry

Lattice parameters (Å, degrees): 3.7094 3.7094 8.4095 77.26 77.26 60.00
Closest atoms and distances in Å follow each position.
Positions (direct):
1 Pa 0.2735 0.2735 0.1795  3 Mn 2.59
2 Pa 0.7265 0.7265 0.8205  3 Mn 2.59
3 Mn 0.0000 0.0000 0.0000  6 Pa 2.59
4 Cd 0.5000 0.5000 0.5000  6 Pa 3.37, 6 Cd 3.71

E_tot = -28.4 eV/cell
E above lowest polymorph = 183 meV per atom
Density of states at the Fermi level = 1.65 states/eV/atom
Total magnetization = 0.000 μB per formula unit
Space group = No. 166
E_form = 0.17 eV per atom

---

Q: Among the records above, which one has the lowest E_tot?
A: SrMnCdP

---

What did the first record say?
Material: SrMnCdP
Method: DFT, PBE
State: optimized geometry

Lattice parameters (Å, degrees): 3.8856 3.8856 11.8535 90.00 90.00 90.00
Closest atoms and distances in Å follow each position.
Positions (direct):
1 Sr 0.7500 0.7500 0.2339  4 P 3.13, 4 Mn 3.39
2 Sr 0.2500 0.2500 0.7661  4 P 3.13, 4 Mn 3.39
3 Mn 0.7500 0.2500 0.0000  4 P 2.32
4 Mn 0.2500 0.7500 0.0000  4 P 2.32
5 Cd 0.2500 0.7500 0.5000  4 Cd 2.75
6 Cd 0.7500 0.2500 0.5000  4 Cd 2.75
7 P 0.7500 0.7500 0.8923  4 Mn 2.32
8 P 0.2500 0.2500 0.1077  4 Mn 2.32

E_tot = -38.6 eV/cell
Density of states at the Fermi level = 0.60 states/eV/atom
Total magnetization = 1.548 μB per formula unit
Space group = No. 129
E_form = -0.53 eV per atom

---

Copy entry 1 word for word.
Material: SrMnCdP
Method: DFT, PBE
State: optimized geometry

Lattice parameters (Å, degrees): 3.8856 3.8856 11.8535 90.00 90.00 90.00
Closest atoms and distances in Å follow each position.
Positions (direct):
1 Sr 0.7500 0.7500 0.2339  4 P 3.13, 4 Mn 3.39
2 Sr 0.2500 0.2500 0.7661  4 P 3.13, 4 Mn 3.39
3 Mn 0.7500 0.2500 0.0000  4 P 2.32
4 Mn 0.2500 0.7500 0.0000  4 P 2.32
5 Cd 0.2500 0.7500 0.5000  4 Cd 2.75
6 Cd 0.7500 0.2500 0.5000  4 Cd 2.75
7 P 0.7500 0.7500 0.8923  4 Mn 2.32
8 P 0.2500 0.2500 0.1077  4 Mn 2.32

E_tot = -38.6 eV/cell
Density of states at the Fermi level = 0.60 states/eV/atom
Total magnetization = 1.548 μB per formula unit
Space group = No. 129
E_form = -0.53 eV per atom